Below is a relaxed structure of Pm6Nd3SmTm2, with properties calculated at the GGA-PBE level.

a b c (Å): 6.2909 10.8971 12.0149
angles (deg): 90.00 100.06 90.00
Space group C2/m (No. 12)
Asymmetric unit:
Pm  0.2483  0.0000  0.2458
Pm  0.2503  0.1671  0.7540
Nd  0.0000  0.0000  0.5000
Nd  0.0000  0.3331  0.5000
Sm  0.0000  0.5000  0.0000
Tm  0.0000  0.1667  0.0000

Final energy, eV per atom: -4.6890
Crystal system: monoclinic
Magnetization, μB per atom: 0.000